Record 1
6
Lattice="4.244 0.000 0.000 -2.122 3.675 0.000 0.000 0.000 6.392" Properties=species:S:1:pos:R:3 comment="PBE LiUSi2Pt2, relaxed" n_ef_per_ev_cell=7.1 formation_energy_uncorrected_ev_per_atom=-0.7167 total_energy_ev_per_atom=-6.738 crystal_system=trigonal pbc="T T T"
U 0.000 0.000 0.000
Pt 2.122 1.225 1.782
Si 2.122 1.225 4.405
Si 0.000 2.450 1.987
Pt 0.000 2.450 4.610
Li 0.000 0.000 3.196

Record 2
5
Lattice="4.421 0.000 0.000 0.000 4.125 0.000 0.000 0.000 4.421" Properties=species:S:1:pos:R:3 comment="PBE LiV2SiPt, relaxed" n_ef_per_ev_cell=5.9 formation_energy_uncorrected_ev_per_atom=0.5952 total_energy_ev_per_atom=-5.728 crystal_system=tetragonal pbc="T T T"
V 0.000 0.000 2.211
Pt 2.211 2.063 2.211
Si 0.000 0.000 0.000
V 2.211 0.000 0.000
Li 0.000 2.063 0.000

Record 3
10
Lattice="8.307 0.009 -1.888 0.002 5.618 0.008 2.801 2.806 3.980" Properties=species:S:1:pos:R:3 comment="PBE LiY2SiPt6, relaxed" n_ef_per_ev_cell=3.3 formation_energy_uncorrected_ev_per_atom=-0.8474 total_energy_ev_per_atom=-6.498 crystal_system=trigonal pbc="T T T"
Pt 3.259 2.807 1.628
Pt 9.219 6.995 2.417
Li 4.154 2.813 -0.940
Pt 9.217 4.251 2.414
Y 2.559 5.616 2.171
Pt 1.892 4.181 -0.314
Si 0.000 0.000 0.000
Y 8.550 2.816 -0.071
Pt 7.851 5.625 0.473
Pt 1.891 1.437 -0.317

Record 4
6
Lattice="-2.205 -3.221 1.568 4.094 -0.467 -0.846 1.494 1.966 6.137" Properties=species:S:1:pos:R:3 comment="PBE LiYSi2Pt2, relaxed" n_ef_per_ev_cell=4.1 formation_energy_uncorrected_ev_per_atom=-0.9897 total_energy_ev_per_atom=-6.207 crystal_system=trigonal pbc="T T T"
Pt 0.340 -1.717 2.592
Li 0.747 0.983 3.069
Y 0.000 0.000 0.000
Si 2.454 -0.779 1.849
Si 0.928 -0.943 5.010
Pt 3.043 -0.005 4.267

Record 5
10
Lattice="-1.143 -2.397 3.226 4.017 -0.590 0.985 -0.259 8.008 5.858" Properties=species:S:1:pos:R:3 comment="PBE LiY2Si3Pt4, relaxed" n_ef_per_ev_cell=4.7 formation_energy_uncorrected_ev_per_atom=-1.0737 total_energy_ev_per_atom=-6.601 crystal_system=tetragonal pbc="T T T"
Pt 1.437 -1.494 2.105
Pt 1.913 2.677 2.666
Li 1.308 2.510 5.034
Pt -0.734 3.838 5.297
Y 1.816 5.675 4.860
Y -0.637 0.839 3.104
Si 1.974 0.787 1.284
Si -0.130 4.004 2.929
Pt 0.000 0.000 0.000
Si -0.796 5.727 6.679

Record 6
10
Lattice="-2.321 -3.166 0.463 2.874 -1.811 2.021 -3.757 4.067 8.988" Properties=species:S:1:pos:R:3 comment="PBE Li2ZnSi4Pt3, relaxed" n_ef_per_ev_cell=5.1 formation_energy_uncorrected_ev_per_atom=-0.4947 total_energy_ev_per_atom=-4.986 crystal_system=tetragonal pbc="T T T"
Si 0.092 0.550 4.228
Si -3.572 1.028 6.001
Si 0.277 -2.489 1.242
Li -1.332 2.092 7.635
Pt -1.878 2.033 4.494
Li -2.148 -0.514 2.594
Zn -1.602 -0.455 5.736
Pt -4.417 1.942 8.022
Pt 0.937 -0.364 2.208
Si 0.000 0.000 0.000

Record 7
20
Lattice="3.544 0.000 0.000 0.000 9.263 0.000 0.000 0.000 9.263" Properties=species:S:1:pos:R:3 comment="PBE Li2ZnSi2Pt5, relaxed" n_ef_per_ev_cell=5.2 formation_energy_uncorrected_ev_per_atom=-0.6780 total_energy_ev_per_atom=-5.293 crystal_system=tetragonal pbc="T T T"
Pt 1.772 2.757 5.315
Pt 1.772 8.578 1.874
Li 0.000 7.700 6.194
Li 0.000 6.194 1.563
Pt 1.772 0.684 7.389
Zn 0.000 4.631 4.631
Pt 1.772 3.947 2.757
Pt 1.772 4.631 0.000
Pt 1.772 1.874 0.684
Si 0.000 5.848 8.046
Si 0.000 3.414 1.217
Pt 1.772 7.389 8.578
Pt 1.772 0.000 4.631
Li 0.000 1.563 3.068
Si 0.000 8.046 3.414
Pt 1.772 5.315 6.505
Si 0.000 1.217 5.848
Zn 0.000 0.000 0.000
Li 0.000 3.068 7.700
Pt 1.772 6.505 3.947

Record 8
10
Lattice="-3.387 -0.813 -1.860 -0.558 -3.106 2.373 -5.253 6.186 6.860" Properties=species:S:1:pos:R:3 comment="PBE Li2ZnSi3Pt4, relaxed" n_ef_per_ev_cell=3.1 formation_energy_uncorrected_ev_per_atom=-0.6411 total_energy_ev_per_atom=-5.194 crystal_system=tetragonal pbc="T T T"
Pt -2.141 0.640 3.619
Si -2.626 3.093 3.430
Pt -1.972 -1.960 0.257
Pt 0.000 0.000 0.000
Pt -5.084 3.586 3.497
Si -0.997 -0.707 2.124
Zn -4.599 1.133 3.687
Si -6.228 4.933 4.992
Li -3.030 1.168 0.816
Li -4.195 3.058 6.301

Record 9
5
Lattice="4.957 0.000 0.000 0.000 4.160 0.000 0.000 0.000 4.957" Properties=species:S:1:pos:R:3 comment="PBE LiZr2SiPt, relaxed" n_ef_per_ev_cell=4.6 formation_energy_uncorrected_ev_per_atom=0.0569 total_energy_ev_per_atom=-6.038 crystal_system=tetragonal pbc="T T T"
Li 0.000 2.080 0.000
Zr 2.479 0.000 0.000
Pt 2.479 2.080 2.479
Zr 0.000 0.000 2.479
Si 0.000 0.000 0.000

Record 10
12
Lattice="-4.923 -1.639 1.746 -0.389 -3.889 3.834 -1.605 4.089 7.893" Properties=species:S:1:pos:R:3 comment="PBE Li2Sm3Pt7, relaxed" n_ef_per_ev_cell=6.4 total_energy_ev_per_atom=-5.956 crystal_system=trigonal delta_e_f_ev_per_fu=-11.2 pbc="T T T"
Sm -1.674 1.619 5.381
Pt -2.802 -3.302 6.162
Pt -4.115 1.863 7.311
Li -3.540 -3.656 3.749
Pt -4.312 -0.105 9.252
Pt -5.097 -2.163 5.106
Pt -3.459 -0.719 6.737
Sm -5.243 -3.058 8.092
Li -3.377 2.218 9.724
Sm 0.000 0.000 0.000
Pt -1.820 0.725 8.368
Pt -2.605 -1.334 4.222

Record 11
7
Lattice="-0.541 -0.541 3.996 -4.811 0.500 -2.655 0.898 -7.083 -0.837" Properties=species:S:1:pos:R:3 comment="PBE Li3Sm2Pt2, relaxed" n_ef_per_ev_cell=3.7 total_energy_ev_per_atom=-4.548 crystal_system=monoclinic delta_e_f_ev_per_fu=-4.6 pbc="T T T"
Pt -0.428 -4.677 -0.691
Li 0.000 0.000 0.000
Pt -4.027 -2.446 1.195
Sm -3.295 -4.361 -1.037
Sm -1.161 -2.762 1.540
Li -3.051 -0.670 -0.504
Li -1.404 -6.453 1.008

Record 12
6
Lattice="-0.555 4.353 2.843 -4.718 2.188 0.537 -2.458 -0.184 4.611" Properties=species:S:1:pos:R:3 comment="PBE Li4SmPt, relaxed" n_ef_per_ev_cell=3.7 total_energy_ev_per_atom=-3.281 crystal_system=cubic delta_e_f_ev_per_fu=-1.3 pbc="T T T"
Sm -1.933 1.589 1.998
Pt 0.000 0.000 0.000
Li -3.596 4.089 2.652
Li -4.859 3.995 5.021
Li -4.573 1.758 3.561
Li -2.435 2.871 4.746